An optimized crystal structure of SrNpCoO5. Source: the Alexandria database, functional PBE+U.

Structure (POSCAR):
```
SrNpCoO5
1.0
3.599 -4.830 0.000
3.599 4.830 0.000
-3.466 0.000 7.228
Sr Np Co O
2 2 2 10
direct
0.172 0.828 0.750
0.828 0.172 0.250
0.500 0.500 0.000
0.500 0.500 0.500
0.189 0.811 0.250
0.811 0.189 0.750
0.150 0.249 0.906
0.204 0.606 0.404
0.249 0.150 0.406
0.394 0.796 0.096
0.428 0.572 0.750
0.572 0.428 0.250
0.606 0.204 0.904
0.751 0.850 0.594
0.796 0.394 0.596
0.850 0.751 0.094
```

Properties
final energy: -128.76 eV for the cell shown
magnetization: 4.0 μB per cell
DOS(E_F): 0.11 states/eV/f.u.